# BaAl2In (PBE, optimized geometry)
# E_form in eV per atom: 0.019
# Calculated volume in Å³/atom: 29.6
# DFT total energy in eV/atom: -3.02
# Symmetry: Imm2 (44)
data_BaAl2In
_cell_length_a 5.634
_cell_length_b 5.634
_cell_length_c 5.634
_cell_angle_alpha 131.15
_cell_angle_beta 112.63
_cell_angle_gamma 87.54
_symmetry_space_group_name_H-M 'P 1'
_symmetry_Int_Tables_number 1
loop_
_symmetry_equiv_pos_as_xyz
'x,y,z'
loop_
_atom_site_label
_atom_site_fract_x
_atom_site_fract_y
_atom_site_fract_z
Al1 0.976 0.976 0.000
Al2 0.811 0.311 0.500
Ba1 0.510 0.510 0.000
In1 0.203 0.703 0.500

=====

# Ba2Al2In (PBE, optimized geometry)
# E_form in eV per atom: -0.146
# Calculated volume in Å³/atom: 34.0
# DFT total energy in eV/atom: -2.96
# Symmetry: Amm2 (38)
data_Ba2Al2In
_cell_length_a 5.135
_cell_length_b 4.652
_cell_length_c 7.483
_cell_angle_alpha 108.11
_cell_angle_beta 90.00
_cell_angle_gamma 90.00
_symmetry_space_group_name_H-M 'P 1'
_symmetry_Int_Tables_number 1
loop_
_symmetry_equiv_pos_as_xyz
'x,y,z'
loop_
_atom_site_label
_atom_site_fract_x
_atom_site_fract_y
_atom_site_fract_z
Ba1 0.000 0.684 0.368
Ba2 0.000 0.932 0.864
Al1 0.500 0.313 0.626
Al2 0.500 0.501 0.002
In1 0.500 0.112 0.224

=====

# BaAlIn4 (PBE, optimized geometry)
# E_form in eV per atom: -0.035
# Calculated volume in Å³/atom: 29.8
# DFT total energy in eV/atom: -2.80
# Symmetry: F-43m (216)
data_BaAlIn4
_cell_length_a 6.322
_cell_length_b 6.322
_cell_length_c 6.322
_cell_angle_alpha 60.00
_cell_angle_beta 60.00
_cell_angle_gamma 60.00
_symmetry_space_group_name_H-M 'P 1'
_symmetry_Int_Tables_number 1
loop_
_symmetry_equiv_pos_as_xyz
'x,y,z'
loop_
_atom_site_label
_atom_site_fract_x
_atom_site_fract_y
_atom_site_fract_z
Ba1 0.000 0.000 0.000
Al1 0.750 0.750 0.750
In1 0.873 0.376 0.376
In2 0.376 0.376 0.873
In3 0.376 0.873 0.376
In4 0.376 0.376 0.376

=====

# Ba2AlIn (PBE, optimized geometry)
# E_form in eV per atom: -0.190
# Distance to the lowest polymorph of the same formula in kJ/mol of atoms: 5.3
# Calculated volume in Å³/atom: 37.6
# DFT total energy in eV/atom: -2.77
# Symmetry: Fm-3m (225)
data_Ba2AlIn
_cell_length_a 5.971
_cell_length_b 5.971
_cell_length_c 5.971
_cell_angle_alpha 60.00
_cell_angle_beta 60.00
_cell_angle_gamma 60.00
_symmetry_space_group_name_H-M 'P 1'
_symmetry_Int_Tables_number 1
loop_
_symmetry_equiv_pos_as_xyz
'x,y,z'
loop_
_atom_site_label
_atom_site_fract_x
_atom_site_fract_y
_atom_site_fract_z
Al1 0.000 0.000 0.000
Ba1 0.250 0.250 0.250
Ba2 0.750 0.750 0.750
In1 0.500 0.500 0.500

=====

# Ba3Al2In4 (PBE, optimized geometry)
# E_form in eV per atom: -0.338
# Calculated volume in Å³/atom: 34.9
# DFT total energy in eV/atom: -3.03
# Symmetry: C2/m (12)
data_Ba3Al2In4
_cell_length_a 4.796
_cell_length_b 7.116
_cell_length_c 11.539
_cell_angle_alpha 58.04
_cell_angle_beta 78.00
_cell_angle_gamma 70.31
_symmetry_space_group_name_H-M 'P 1'
_symmetry_Int_Tables_number 1
loop_
_symmetry_equiv_pos_as_xyz
'x,y,z'
loop_
_atom_site_label
_atom_site_fract_x
_atom_site_fract_y
_atom_site_fract_z
Ba1 0.335 0.667 0.664
Ba2 0.000 0.000 0.000
Ba3 0.665 0.333 0.336
Al1 0.389 0.941 0.280
Al2 0.611 0.059 0.720
In1 0.280 0.376 0.063
In2 0.720 0.624 0.937
In3 0.058 0.268 0.616
In4 0.942 0.732 0.384

=====

# Ba2AlIn (PBE, optimized geometry)
# E_form in eV per atom: 0.032
# Distance to the lowest polymorph of the same formula in kJ/mol of atoms: 26.8
# Calculated volume in Å³/atom: 41.1
# DFT total energy in eV/atom: -2.55
# Symmetry: R-3m (166)
data_Ba2AlIn
_cell_length_a 11.038
_cell_length_b 11.038
_cell_length_c 11.038
_cell_angle_alpha 21.92
_cell_angle_beta 21.92
_cell_angle_gamma 21.92
_symmetry_space_group_name_H-M 'P 1'
_symmetry_Int_Tables_number 1
loop_
_symmetry_equiv_pos_as_xyz
'x,y,z'
loop_
_atom_site_label
_atom_site_fract_x
_atom_site_fract_y
_atom_site_fract_z
Al1 0.750 0.750 0.750
Ba1 0.003 0.003 0.003
Ba2 0.497 0.497 0.497
In1 0.250 0.250 0.250

=====

# BaAl2In (PBE, optimized geometry)
# E_form in eV per atom: -0.036
# Calculated volume in Å³/atom: 33.3
# DFT total energy in eV/atom: -3.07
# Symmetry: I4_1/amd (141)
data_BaAl2In
_cell_length_a 5.248
_cell_length_b 5.248
_cell_length_c 10.370
_cell_angle_alpha 75.34
_cell_angle_beta 75.34
_cell_angle_gamma 90.00
_symmetry_space_group_name_H-M 'P 1'
_symmetry_Int_Tables_number 1
loop_
_symmetry_equiv_pos_as_xyz
'x,y,z'
loop_
_atom_site_label
_atom_site_fract_x
_atom_site_fract_y
_atom_site_fract_z
Al1 0.375 0.125 0.250
Al2 0.375 0.625 0.250
Al3 0.375 0.625 0.750
Al4 0.875 0.625 0.750
Ba1 0.000 0.000 0.000
Ba2 0.750 0.250 0.500
In1 0.500 0.500 0.000
In2 0.250 0.750 0.500

=====

# BaAl2In (PBE, optimized geometry)
# E_form in eV per atom: -0.017
# Calculated volume in Å³/atom: 31.2
# DFT total energy in eV/atom: -3.05
# Symmetry: C2 (5)
data_BaAl2In
_cell_length_a 6.655
_cell_length_b 6.656
_cell_length_c 7.375
_cell_angle_alpha 135.37
_cell_angle_beta 135.37
_cell_angle_gamma 78.82
_symmetry_space_group_name_H-M 'P 1'
_symmetry_Int_Tables_number 1
loop_
_symmetry_equiv_pos_as_xyz
'x,y,z'
loop_
_atom_site_label
_atom_site_fract_x
_atom_site_fract_y
_atom_site_fract_z
Al1 0.976 0.024 0.000
Al2 0.324 0.676 0.500
Ba1 0.513 0.487 0.000
In1 0.686 0.314 0.500

=====

# BaAl2In (PBE, optimized geometry)
# E_form in eV per atom: -0.206
# Calculated volume in Å³/atom: 29.6
# DFT total energy in eV/atom: -3.24
# Symmetry: Cm (8)
data_BaAl2In
_cell_length_a 4.592
_cell_length_b 4.592
_cell_length_c 7.010
_cell_angle_alpha 70.95
_cell_angle_beta 70.95
_cell_angle_gamma 59.83
_symmetry_space_group_name_H-M 'P 1'
_symmetry_Int_Tables_number 1
loop_
_symmetry_equiv_pos_as_xyz
'x,y,z'
loop_
_atom_site_label
_atom_site_fract_x
_atom_site_fract_y
_atom_site_fract_z
Al1 0.027 0.027 0.919
Al2 0.702 0.702 0.896
Ba1 0.489 0.489 0.531
In1 0.282 0.282 0.155

=====

# BaAl2In (PBE, optimized geometry)
# E_form in eV per atom: 0.060
# Calculated volume in Å³/atom: 27.7
# DFT total energy in eV/atom: -2.98
# Symmetry: P4/mmm (123)
data_BaAl2In
_cell_length_a 4.829
_cell_length_b 4.829
_cell_length_c 4.750
_cell_angle_alpha 90.00
_cell_angle_beta 90.00
_cell_angle_gamma 90.00
_symmetry_space_group_name_H-M 'P 1'
_symmetry_Int_Tables_number 1
loop_
_symmetry_equiv_pos_as_xyz
'x,y,z'
loop_
_atom_site_label
_atom_site_fract_x
_atom_site_fract_y
_atom_site_fract_z
Al1 0.000 0.000 0.000
Al2 0.500 0.500 0.000
Ba1 0.500 0.000 0.500
In1 0.000 0.500 0.500

=====

# BaAl3In3 (PBE, optimized geometry)
# E_form in eV per atom: 0.117
# Calculated volume in Å³/atom: 31.9
# DFT total energy in eV/atom: -2.93
# Symmetry: Pm-3n (223)
data_BaAl3In3
_cell_length_a 7.641
_cell_length_b 7.641
_cell_length_c 7.641
_cell_angle_alpha 90.00
_cell_angle_beta 90.00
_cell_angle_gamma 90.00
_symmetry_space_group_name_H-M 'P 1'
_symmetry_Int_Tables_number 1
loop_
_symmetry_equiv_pos_as_xyz
'x,y,z'
loop_
_atom_site_label
_atom_site_fract_x
_atom_site_fract_y
_atom_site_fract_z
Al1 0.250 0.000 0.500
Al2 0.000 0.500 0.250
Al3 0.500 0.750 0.000
Al4 0.750 0.000 0.500
Al5 0.000 0.500 0.750
Al6 0.500 0.250 0.000
Ba1 0.500 0.500 0.500
Ba2 0.000 0.000 0.000
In1 0.000 0.250 0.500
In2 0.000 0.750 0.500
In3 0.500 0.000 0.750
In4 0.750 0.500 0.000
In5 0.500 0.000 0.250
In6 0.250 0.500 0.000

=====

# BaAl2In (PBE, optimized geometry)
# E_form in eV per atom: -0.064
# Calculated volume in Å³/atom: 28.4
# DFT total energy in eV/atom: -3.10
# Symmetry: Pm (6)
data_BaAl2In
_cell_length_a 4.493
_cell_length_b 3.606
_cell_length_c 7.240
_cell_angle_alpha 75.59
_cell_angle_beta 90.00
_cell_angle_gamma 90.00
_symmetry_space_group_name_H-M 'P 1'
_symmetry_Int_Tables_number 1
loop_
_symmetry_equiv_pos_as_xyz
'x,y,z'
loop_
_atom_site_label
_atom_site_fract_x
_atom_site_fract_y
_atom_site_fract_z
Al1 0.000 0.191 0.996
Al2 0.500 0.091 0.192
Ba1 0.000 0.448 0.478
In1 0.500 0.770 0.834